{"formula": "Tb4SnPd3", "functional": "PBE", "state": "optimized geometry", "cell": [[-0.933, 1.632, -3.399], [-3.198, -3.197, -0.657], [-7.302, 6.274, 5.018]], "species": ["Tb", "Tb", "Tb", "Tb", "Sn", "Pd", "Pd", "Pd"], "fractional_positions": [[0.500, 0.500, 0.374], [0.000, 0.500, 0.848], [0.000, 0.000, 0.148], [0.500, 0.000, 0.636], [0.500, 0.500, 0.079], [0.000, 0.500, 0.584], [0.000, 0.000, 0.419], [0.500, 0.000, 0.912]], "formation_energy_ev_per_atom": -0.8320, "total_magnetization_mub_per_fu": 0.0}


{"formula": "TbSn3Pd7", "functional": "PBE", "state": "optimized geometry", "cell": [[-1.807, 2.787, -4.493], [-4.537, -4.479, 1.090], [-1.341, 3.887, 4.994]], "species": ["Tb", "Sn", "Sn", "Sn", "Pd", "Pd", "Pd", "Pd", "Pd", "Pd", "Pd"], "fractional_positions": [[0.500, 0.500, 0.500], [0.000, 0.770, 0.230], [0.500, 0.000, 0.000], [0.000, 0.230, 0.770], [0.047, 0.187, 0.187], [0.316, 0.052, 0.592], [0.684, 0.408, 0.948], [0.316, 0.592, 0.052], [0.000, 0.500, 0.500], [0.684, 0.948, 0.408], [0.953, 0.813, 0.813]], "formation_energy_ev_per_atom": -0.5016, "total_magnetization_mub_per_fu": 0.0}


{"formula": "TbSnPd3", "functional": "PBE", "state": "optimized geometry", "cell": [[-2.957, 0.210, 5.793], [-6.502, -0.182, -0.190], [-2.682, -5.597, 1.955]], "species": ["Tb", "Tb", "Sn", "Sn", "Pd", "Pd", "Pd", "Pd", "Pd", "Pd"], "fractional_positions": [[0.949, 0.949, 0.949], [0.449, 0.449, 0.449], [0.746, 0.746, 0.746], [0.246, 0.246, 0.246], [0.068, 0.893, 0.362], [0.393, 0.568, 0.862], [0.568, 0.862, 0.393], [0.862, 0.393, 0.568], [0.362, 0.068, 0.893], [0.893, 0.362, 0.068]], "formation_energy_ev_per_atom": -0.4983, "total_magnetization_mub_per_fu": 0.0}


{"formula": "Tb3SnPd12", "functional": "PBE", "state": "optimized geometry", "cell": [[-0.078, 1.999, -3.601], [2.913, -2.519, -1.462], [-11.567, -10.228, -5.427]], "species": ["Tb", "Tb", "Tb", "Sn", "Pd", "Pd", "Pd", "Pd", "Pd", "Pd", "Pd", "Pd", "Pd", "Pd", "Pd", "Pd"], "fractional_positions": [[0.000, 0.000, 0.248], [0.000, 0.000, 0.500], [0.000, 0.000, 0.752], [0.000, 0.000, 0.000], [0.500, 0.500, 0.000], [0.500, 0.500, 0.245], [0.500, 0.500, 0.500], [0.500, 0.500, 0.755], [0.500, 0.000, 0.119], [0.500, 0.000, 0.373], [0.500, 0.000, 0.627], [0.500, 0.000, 0.881], [0.000, 0.500, 0.119], [0.000, 0.500, 0.373], [0.000, 0.500, 0.627], [0.000, 0.500, 0.881]], "formation_energy_ev_per_atom": -0.7768, "total_magnetization_mub_per_fu": 0.0}


{"formula": "TbSn4Pd", "functional": "PBE", "state": "optimized geometry", "cell": [[-2.051, 3.453, 1.972], [0.097, -2.223, 3.994], [14.015, 4.265, 2.035]], "species": ["Tb", "Tb", "Sn", "Sn", "Sn", "Sn", "Sn", "Sn", "Sn", "Sn", "Pd", "Pd"], "fractional_positions": [[0.804, 0.500, 0.608], [0.196, 0.500, 0.392], [0.614, 0.500, 0.228], [0.386, 0.500, 0.772], [0.715, 0.000, 0.430], [0.285, 0.000, 0.570], [0.884, 0.000, 0.769], [0.116, 0.000, 0.231], [0.000, 0.000, 0.000], [0.500, 0.500, 0.000], [0.557, 0.000, 0.114], [0.443, 0.000, 0.886]], "formation_energy_ev_per_atom": -0.4464, "total_magnetization_mub_per_fu": 0.0}


{"formula": "TbSnPd", "functional": "PBE", "state": "optimized geometry", "cell": [[-0.239, 2.317, -2.769], [0.746, -2.683, -2.310], [-11.242, -2.067, 1.604]], "species": ["Pd", "Pd", "Tb", "Tb", "Sn", "Sn"], "fractional_positions": [[0.284, 0.284, 0.569], [0.716, 0.716, 0.431], [0.153, 0.153, 0.307], [0.847, 0.847, 0.693], [0.565, 0.565, 0.130], [0.435, 0.435, 0.870]], "formation_energy_ev_per_atom": -0.6098, "total_magnetization_mub_per_fu": 0.0}


{"formula": "TbSnPd", "functional": "PBE", "state": "optimized geometry", "cell": [[4.589, 0.000, -0.113], [0.000, 4.736, 0.000], [-2.284, 0.000, 6.209]], "species": ["Tb", "Tb", "Sn", "Sn", "Pd", "Pd"], "fractional_positions": [[0.899, 0.250, 0.794], [0.101, 0.750, 0.206], [0.598, 0.250, 0.219], [0.402, 0.750, 0.781], [0.230, 0.250, 0.493], [0.770, 0.750, 0.507]], "formation_energy_ev_per_atom": -0.7959, "total_magnetization_mub_per_fu": 0.0}


{"formula": "Tb2Sn2Pd5", "functional": "PBE", "state": "optimized geometry", "cell": [[-7.074, -2.208, 1.526], [1.258, -0.044, 5.768], [0.597, 8.925, -3.084]], "species": ["Tb", "Tb", "Tb", "Tb", "Sn", "Sn", "Sn", "Sn", "Pd", "Pd", "Pd", "Pd", "Pd", "Pd", "Pd", "Pd", "Pd", "Pd"], "fractional_positions": [[0.019, 0.593, 0.222], [0.981, 0.371, 0.778], [0.703, 0.093, 0.222], [0.297, 0.871, 0.778], [0.000, 0.982, 0.000], [0.500, 0.482, 0.000], [0.500, 0.482, 0.500], [0.500, 0.982, 0.500], [0.322, 0.804, 0.145], [0.678, 0.660, 0.855], [0.322, 0.304, 0.145], [0.678, 0.159, 0.855], [0.148, 0.144, 0.324], [0.852, 0.820, 0.676], [0.676, 0.644, 0.324], [0.324, 0.319, 0.676], [0.000, 0.482, 0.500], [0.000, 0.982, 0.500]], "formation_energy_ev_per_atom": -0.7718, "total_magnetization_mub_per_fu": 0.0}


{"formula": "TbSn4Pd7", "functional": "PBE", "state": "optimized geometry", "cell": [[-4.407, -1.587, 1.782], [-3.621, -4.805, -6.188], [0.314, -5.483, 2.938]], "species": ["Tb", "Sn", "Sn", "Sn", "Sn", "Pd", "Pd", "Pd", "Pd", "Pd", "Pd", "Pd"], "fractional_positions": [[0.000, 0.000, 0.000], [0.590, 0.223, 0.597], [0.410, 0.777, 0.403], [0.734, 0.667, 0.864], [0.266, 0.333, 0.136], [0.781, 0.903, 0.536], [0.219, 0.097, 0.464], [0.068, 0.664, 0.201], [0.932, 0.336, 0.799], [0.357, 0.541, 0.745], [0.500, 0.000, 0.000], [0.643, 0.459, 0.255]], "formation_energy_ev_per_atom": -0.4866, "total_magnetization_mub_per_fu": 0.0}


{"formula": "TbSn8Pd2", "functional": "PBE", "state": "optimized geometry", "cell": [[4.825, 0.025, 0.038], [-0.777, 7.916, -0.138], [-0.777, -3.176, 7.252]], "species": ["Tb", "Sn", "Sn", "Sn", "Sn", "Sn", "Sn", "Sn", "Sn", "Pd", "Pd"], "fractional_positions": [[0.500, 0.000, 0.000], [0.912, 0.938, 0.668], [0.912, 0.668, 0.938], [0.316, 0.619, 0.619], [0.500, 0.759, 0.241], [0.500, 0.241, 0.759], [0.684, 0.381, 0.381], [0.088, 0.332, 0.062], [0.088, 0.062, 0.332], [0.000, 0.331, 0.669], [0.000, 0.669, 0.331]], "formation_energy_ev_per_atom": -0.2910, "total_magnetization_mub_per_fu": 0.0}


{"formula": "TbSnPd5", "functional": "PBE", "state": "optimized geometry", "cell": [[4.129, 0.000, 0.000], [0.000, 4.129, 0.000], [0.000, 0.000, 7.596]], "species": ["Tb", "Sn", "Pd", "Pd", "Pd", "Pd", "Pd"], "fractional_positions": [[0.000, 0.000, 0.500], [0.500, 0.500, 0.000], [0.000, 0.500, 0.774], [0.000, 0.500, 0.226], [0.500, 0.000, 0.774], [0.500, 0.000, 0.226], [0.500, 0.500, 0.500]], "formation_energy_ev_per_atom": -0.7016, "total_magnetization_mub_per_fu": 0.0}


{"formula": "Tb2SnPd6", "functional": "PBE", "state": "optimized geometry", "cell": [[3.622, 0.000, -0.132], [0.000, 7.925, 0.000], [-1.564, -3.963, 6.589]], "species": ["Tb", "Tb", "Sn", "Pd", "Pd", "Pd", "Pd", "Pd", "Pd"], "fractional_positions": [[0.662, 0.658, 0.316], [0.338, 0.342, 0.684], [0.000, 0.000, 0.000], [0.168, 0.383, 0.332], [0.832, 0.051, 0.668], [0.832, 0.617, 0.668], [0.500, 0.248, 0.000], [0.168, 0.949, 0.332], [0.500, 0.752, 0.000]], "formation_energy_ev_per_atom": -0.5386, "total_magnetization_mub_per_fu": 0.0}


{"formula": "Tb4SnPd7", "functional": "PBE", "state": "optimized geometry", "cell": [[-3.932, -3.348, -0.680], [-2.075, -3.365, 8.621], [-5.502, 2.291, 0.583]], "species": ["Tb", "Tb", "Tb", "Tb", "Sn", "Pd", "Pd", "Pd", "Pd", "Pd", "Pd", "Pd"], "fractional_positions": [[0.592, 0.215, 0.601], [0.408, 0.785, 0.399], [0.790, 0.634, 0.785], [0.210, 0.366, 0.215], [0.000, 0.000, 0.000], [0.789, 0.910, 0.511], [0.211, 0.090, 0.489], [0.077, 0.692, 0.153], [0.923, 0.308, 0.847], [0.367, 0.522, 0.744], [0.500, 0.000, 0.000], [0.633, 0.478, 0.256]], "formation_energy_ev_per_atom": -0.7016, "total_magnetization_mub_per_fu": 0.0}


{"formula": "TbSn2Pd4", "functional": "PBE", "state": "optimized geometry", "cell": [[4.356, 0.000, 1.361], [1.965, 3.887, 1.361], [-0.199, -0.122, 8.287]], "species": ["Tb", "Sn", "Sn", "Pd", "Pd", "Pd", "Pd"], "fractional_positions": [[0.000, 0.000, 0.000], [0.756, 0.756, 0.731], [0.244, 0.244, 0.269], [0.871, 0.871, 0.388], [0.129, 0.129, 0.612], [0.596, 0.596, 0.211], [0.404, 0.404, 0.789]], "formation_energy_ev_per_atom": -0.6151, "total_magnetization_mub_per_fu": 0.0}


{"formula": "TbSn2Pd9", "functional": "PBE", "state": "optimized geometry", "cell": [[4.084, 0.000, 0.000], [0.000, 4.084, 0.000], [0.000, 0.000, 12.138]], "species": ["Tb", "Sn", "Sn", "Pd", "Pd", "Pd", "Pd", "Pd", "Pd", "Pd", "Pd", "Pd"], "fractional_positions": [[0.000, 0.000, 0.000], [0.000, 0.000, 0.335], [0.000, 0.000, 0.665], [0.500, 0.500, 0.000], [0.500, 0.500, 0.337], [0.500, 0.500, 0.663], [0.500, 0.000, 0.173], [0.500, 0.000, 0.500], [0.500, 0.000, 0.827], [0.000, 0.500, 0.173], [0.000, 0.500, 0.500], [0.000, 0.500, 0.827]], "formation_energy_ev_per_atom": -0.6260, "total_magnetization_mub_per_fu": 0.0}


{"formula": "TbSnPd", "functional": "PBE", "state": "optimized geometry", "cell": [[4.658, 0.000, 0.000], [0.000, 7.257, 0.000], [0.000, 0.000, 7.974]], "species": ["Tb", "Tb", "Tb", "Tb", "Sn", "Sn", "Sn", "Sn", "Pd", "Pd", "Pd", "Pd"], "fractional_positions": [[0.750, 0.010, 0.205], [0.250, 0.990, 0.795], [0.750, 0.510, 0.295], [0.250, 0.490, 0.705], [0.750, 0.193, 0.588], [0.250, 0.807, 0.412], [0.750, 0.693, 0.912], [0.250, 0.307, 0.088], [0.750, 0.794, 0.584], [0.250, 0.206, 0.416], [0.750, 0.294, 0.916], [0.250, 0.706, 0.084]], "formation_energy_ev_per_atom": -0.9218, "total_magnetization_mub_per_fu": 0.0}


{"formula": "Tb2Sn2Pd", "functional": "PBE", "state": "optimized geometry", "cell": [[4.434, 0.000, 1.051], [2.242, 5.544, 0.421], [-0.046, -0.520, 10.073]], "species": ["Tb", "Tb", "Tb", "Tb", "Sn", "Sn", "Sn", "Sn", "Pd", "Pd"], "fractional_positions": [[0.676, 0.317, 0.331], [0.932, 0.249, 0.887], [0.324, 0.683, 0.669], [0.068, 0.751, 0.113], [0.086, 0.264, 0.564], [0.652, 0.814, 0.883], [0.914, 0.736, 0.436], [0.348, 0.186, 0.117], [0.622, 0.093, 0.663], [0.378, 0.907, 0.337]], "formation_energy_ev_per_atom": -0.8319, "total_magnetization_mub_per_fu": 0.0}


{"formula": "Tb12SnPd5", "functional": "PBE", "state": "optimized geometry", "cell": [[-2.859, 8.032, 0.636], [-1.423, -3.077, -7.848], [-4.050, -5.315, 5.333]], "species": ["Tb", "Tb", "Tb", "Tb", "Tb", "Tb", "Tb", "Tb", "Tb", "Tb", "Tb", "Tb", "Sn", "Pd", "Pd", "Pd", "Pd", "Pd"], "fractional_positions": [[0.532, 0.820, 0.713], [0.468, 0.180, 0.287], [0.893, 0.180, 0.713], [0.107, 0.820, 0.287], [0.700, 0.675, 0.375], [0.300, 0.325, 0.625], [0.300, 0.675, 0.974], [0.700, 0.325, 0.026], [0.810, 0.585, 0.775], [0.190, 0.415, 0.225], [0.190, 0.965, 0.775], [0.810, 0.035, 0.225], [0.000, 0.500, 0.500], [0.650, 0.650, 0.000], [0.350, 0.350, 0.000], [0.500, 0.133, 0.633], [0.500, 0.867, 0.367], [0.000, 0.000, 0.000]], "formation_energy_ev_per_atom": -0.6034, "total_magnetization_mub_per_fu": 0.0}


{"formula": "TbSnPd", "functional": "PBE", "state": "optimized geometry", "cell": [[3.624, 0.000, 0.000], [0.000, 4.666, 0.000], [0.000, -2.333, 4.041]], "species": ["Tb", "Sn", "Pd"], "fractional_positions": [[0.667, 0.667, 0.333], [0.167, 0.000, 0.000], [0.167, 0.333, 0.667]], "formation_energy_ev_per_atom": -0.8871, "total_magnetization_mub_per_fu": 0.0}


{"formula": "TbSn4Pd6", "functional": "PBE", "state": "optimized geometry", "cell": [[-0.213, -0.520, -4.102], [6.787, -3.715, 0.118], [-6.594, -3.961, 0.845]], "species": ["Tb", "Sn", "Sn", "Sn", "Sn", "Pd", "Pd", "Pd", "Pd", "Pd", "Pd"], "fractional_positions": [[0.000, 0.000, 0.000], [0.500, 0.810, 0.619], [0.500, 0.381, 0.190], [0.500, 0.810, 0.190], [0.000, 0.333, 0.667], [0.000, 0.537, 0.074], [0.500, 0.598, 0.799], [0.000, 0.537, 0.463], [0.000, 0.926, 0.463], [0.500, 0.201, 0.799], [0.500, 0.201, 0.402]], "formation_energy_ev_per_atom": -0.6223, "total_magnetization_mub_per_fu": 0.0}